Entry 1:
NbIn2As2 PBE optimized geometry; magnetic moment = 0.39 μB/f.u.; ρ = 6.8 g cm⁻³; total energy = -4.5367 eV per atom; space-group type = No. 139
1.0
-1.765 1.765 9.229
1.765 -1.765 9.229
1.765 1.765 -9.229
Nb In As
1 2 2
direct
0.000 0.000 0.000
0.406 0.406 0.000
0.594 0.594 0.000
0.250 0.750 0.500
0.750 0.250 0.500


Entry 2:
KIn2I3 PBE optimized geometry; magnetic moment = 0.00 μB/f.u.; ρ = 3.7 g cm⁻³; total energy = -2.4980 eV per atom; formation energy without anion corrections = -0.6272 eV/atom; space-group type = No. 63
1.0
6.034 -8.173 0.000
6.034 8.173 0.000
0.000 0.000 5.978
K In I
2 4 6
direct
0.191 0.809 0.750
0.809 0.191 0.250
0.360 0.360 0.000
0.360 0.360 0.500
0.640 0.640 0.000
0.640 0.640 0.500
0.070 0.292 0.750
0.292 0.070 0.250
0.326 0.674 0.250
0.674 0.326 0.750
0.708 0.930 0.750
0.930 0.708 0.250


Entry 3:
GaRe2Pd PBE optimized geometry; magnetic moment = 0.00 μB/f.u.; ρ = 10.4 g cm⁻³; total energy = -6.3956 eV per atom; space-group type = No. 122
1.0
-3.002 3.002 4.851
3.002 -3.002 4.851
3.002 3.002 -4.851
Ga Re Pd
2 4 2
direct
0.000 0.000 0.000
0.750 0.250 0.500
0.133 0.625 0.008
0.375 0.383 0.508
0.617 0.125 0.992
0.875 0.867 0.492
0.250 0.750 0.500
0.500 0.500 0.000


Entry 4:
CdGa2Ag7Sb2 PBE optimized geometry; magnetic moment = 0.00 μB/f.u.; ρ = 8.6 g cm⁻³; total energy = -2.8879 eV per atom; formation energy without anion corrections = 0.0432 eV/atom; space-group type = No. 12
1.0
3.025 -2.968 0.000
3.025 2.968 0.000
-0.346 0.000 13.394
Cd Ga Ag Sb
1 2 7 2
direct
0.000 0.000 0.000
0.496 0.496 0.321
0.504 0.504 0.679
0.008 0.505 0.157
0.264 0.264 0.502
0.495 0.992 0.843
0.500 0.500 0.000
0.505 0.008 0.157
0.736 0.736 0.498
0.992 0.495 0.843
0.001 0.001 0.319
0.999 0.999 0.681


Entry 5:
Nd2Dy3Er7 PBE optimized geometry; magnetic moment = 0.00 μB/f.u.; ρ = 8.5 g cm⁻³; total energy = -4.4932 eV per atom; space-group type = No. 65
1.0
2.828 -18.816 0.000
2.828 18.816 0.000
0.000 0.000 3.594
Nd Dy Er
2 3 7
direct
0.147 0.853 0.000
0.853 0.147 0.000
0.314 0.686 0.500
0.500 0.500 0.500
0.686 0.314 0.500
0.000 0.000 0.000
0.071 0.929 0.500
0.230 0.770 0.000
0.411 0.589 0.000
0.589 0.411 0.000
0.770 0.230 0.000
0.929 0.071 0.500


Entry 6:
Ce2H3Pb PBE optimized geometry; magnetic moment = 1.35 μB/f.u.; ρ = 7.7 g cm⁻³; total energy = -4.6764 eV per atom; space-group type = No. 12
1.0
7.949 -1.965 0.000
7.949 1.965 0.000
-3.588 0.000 6.787
Ce H Pb
4 6 2
direct
0.000 0.000 0.183
0.000 0.000 0.817
0.348 0.348 0.353
0.652 0.652 0.647
0.121 0.121 0.752
0.126 0.126 0.480
0.500 0.500 0.351
0.500 0.500 0.649
0.874 0.874 0.520
0.879 0.879 0.248
0.339 0.339 0.847
0.661 0.661 0.153


Entry 7:
Sm2Si4Ni3Au PBE optimized geometry; magnetic moment = 0.00 μB/f.u.; ρ = 8.1 g cm⁻³; total energy = -5.9500 eV per atom; formation energy without anion corrections = -0.7748 eV/atom; space-group type = No. 115
1.0
4.081 0.000 0.000
0.000 4.081 0.000
0.000 0.000 9.731
Sm Si Ni Au
2 4 3 1
direct
0.000 0.500 0.240
0.500 0.000 0.760
0.000 0.000 0.000
0.000 0.500 0.646
0.500 0.000 0.354
0.500 0.500 0.000
0.000 0.500 0.884
0.500 0.000 0.116
0.500 0.500 0.500
0.000 0.000 0.500


Entry 8:
AlSiPt PBE optimized geometry; magnetic moment = 0.00 μB/f.u.; ρ = 8.5 g cm⁻³; total energy = -5.4445 eV per atom; formation energy without anion corrections = -0.3757 eV/atom; space-group type = No. 216
1.0
0.000 2.902 2.902
2.902 0.000 2.902
2.902 2.902 0.000
Al Si Pt
1 1 1
direct
0.000 0.000 0.000
0.750 0.750 0.750
0.500 0.500 0.500